This record from Alexandria via LeMat-Bulk describes a relaxed Pr6Sb2PbSe3 crystal. The functional is PBE.

abc: 19.290 4.444 8.842
angles: 90.00 102.87 90.00
Space group C2/m (No. 12)
Symmetry-distinct sites (fractional):
Pr1 0.002 0.000 0.244 (multiplicity 4)
Pr2 0.165 0.500 0.088 (multiplicity 4)
Pr3 0.169 0.500 0.578 (multiplicity 4)
Sb1 0.167 0.000 0.833 (multiplicity 4)
Pb1 0.000 0.500 0.500 (multiplicity 2)
Se1 0.000 0.500 0.000 (multiplicity 2)
Se2 0.167 0.000 0.333 (multiplicity 4)

N(E_F): 0.402 states/eV per atom
E_tot: -136.1 eV for the cell shown
ΔE_f (raw): -1.415 eV/atom

---

This record from Alexandria via LeMat-Bulk describes a relaxed Pr4SbPb2Se crystal. The functional is PBE.

abc: 7.688 4.407 8.102
angles: 90.00 108.33 90.00
Space group P2/m (No. 10)
Symmetry-distinct sites (fractional):
Pr1 0.240 0.000 0.235 (multiplicity 2)
Pr2 0.249 0.500 0.762 (multiplicity 2)
Sb1 0.500 0.000 0.000 (multiplicity 1)
Pb1 0.000 0.000 0.500 (multiplicity 1)
Pb2 0.500 0.500 0.500 (multiplicity 1)
Se1 0.000 0.500 0.000 (multiplicity 1)

N(E_F): 0.480 states/eV per atom
E_tot: -42.2 eV for the cell shown
ΔE_f (raw): -1.005 eV/atom

---

This record from Alexandria via LeMat-Bulk describes a relaxed Pr6Sb3PbSe2 crystal. The functional is PBE.

abc: 19.492 4.481 8.967
angles: 90.00 103.09 90.00
Space group C2/m (No. 12)
Symmetry-distinct sites (fractional):
Pr1 0.004 0.000 0.254 (multiplicity 4)
Pr2 0.168 0.500 0.089 (multiplicity 4)
Pr3 0.168 0.500 0.580 (multiplicity 4)
Sb1 0.000 0.500 0.500 (multiplicity 2)
Sb2 0.166 0.000 0.831 (multiplicity 4)
Pb1 0.000 0.500 0.000 (multiplicity 2)
Se1 0.169 0.000 0.337 (multiplicity 4)

N(E_F): 0.250 states/eV per atom
E_tot: -134.8 eV for the cell shown
ΔE_f (raw): -1.307 eV/atom

---

This record from Alexandria via LeMat-Bulk describes a relaxed Pr6SbTe3Pb2 crystal. The functional is PBE.

abc: 19.920 4.582 9.145
angles: 90.00 103.13 90.00
Space group C2/m (No. 12)
Symmetry-distinct sites (fractional):
Pr1 0.002 0.000 0.245 (multiplicity 4)
Pr2 0.165 0.500 0.087 (multiplicity 4)
Pr3 0.168 0.500 0.579 (multiplicity 4)
Sb1 0.000 0.500 0.000 (multiplicity 2)
Te1 0.000 0.500 0.500 (multiplicity 2)
Te2 0.166 0.000 0.833 (multiplicity 4)
Pb1 0.167 0.000 0.333 (multiplicity 4)

N(E_F): 0.191 states/eV per atom
E_tot: -127.0 eV for the cell shown
ΔE_f (raw): -1.153 eV/atom

---

This record from Alexandria via LeMat-Bulk describes a relaxed Pr6Sb2TePb3 crystal. The functional is PBE.

abc: 20.220 4.463 9.395
angles: 90.00 105.91 90.00
Space group C2/m (No. 12)
Symmetry-distinct sites (fractional):
Pr1 0.002 0.000 0.250 (multiplicity 4)
Pr2 0.166 0.500 0.090 (multiplicity 4)
Pr3 0.168 0.500 0.578 (multiplicity 4)
Sb1 0.166 0.000 0.333 (multiplicity 4)
Te1 0.000 0.500 0.000 (multiplicity 2)
Pb1 0.000 0.500 0.500 (multiplicity 2)
Pb2 0.166 0.000 0.834 (multiplicity 4)

N(E_F): 0.654 states/eV per atom
E_tot: -123.7 eV for the cell shown
ΔE_f (raw): -0.890 eV/atom

---

This record from Alexandria via LeMat-Bulk describes a relaxed Pr6Sb3Te2Pb crystal. The functional is PBE.

abc: 19.877 4.560 9.144
angles: 90.00 103.22 90.00
Space group C2/m (No. 12)
Symmetry-distinct sites (fractional):
Pr1 0.001 0.000 0.249 (multiplicity 4)
Pr2 0.164 0.500 0.089 (multiplicity 4)
Pr3 0.167 0.500 0.578 (multiplicity 4)
Sb1 0.000 0.500 0.000 (multiplicity 2)
Sb2 0.168 0.000 0.333 (multiplicity 4)
Te1 0.167 0.000 0.835 (multiplicity 4)
Pb1 0.000 0.500 0.500 (multiplicity 2)

N(E_F): 0.248 states/eV per atom
E_tot: -131.1 eV for the cell shown
ΔE_f (raw): -1.208 eV/atom